Computed, not measured: a relaxed Mn2ZnO4 crystal at the PBE with a Hubbard U level of DFT.

Geometry as POSCAR:
```
Mn2ZnO4
1.0
6.105 0.000 0.000
0.000 10.298 0.000
0.000 0.000 5.163
Mn Zn O
8 4 16
Direct
0.000 0.000 0.000
0.000 0.500 0.000
0.250 0.015 0.489
0.250 0.485 0.489
0.500 0.000 0.000
0.500 0.500 0.000
0.750 0.515 0.511
0.750 0.985 0.511
0.250 0.250 0.849
0.250 0.750 0.500
0.750 0.250 0.500
0.750 0.750 0.151
0.002 0.113 0.689
0.002 0.387 0.689
0.250 0.099 0.144
0.250 0.401 0.144
0.250 0.602 0.765
0.250 0.898 0.765
0.498 0.113 0.689
0.498 0.387 0.689
0.502 0.613 0.311
0.502 0.887 0.311
0.750 0.102 0.235
0.750 0.398 0.235
0.750 0.599 0.856
0.750 0.901 0.856
0.998 0.613 0.311
0.998 0.887 0.311
```

Output
Spin magnetization   32.00 Bohr magnetons per cell
Theoretical density   4.9 g/cm3
DOS(E_F)   4.04 states/eV per cell
Space group   No. 59
Energy above the lowest structure with this stoichiometry   0.175 eV per atom
Total energy   -6.545 eV/atom